(1)
A relaxed structure of Zr3Ti3N, computed with GGA-PBE.

a = 8.863 Å, b = 8.863 Å, c = 8.863 Å
α = 60.00°, β = 60.00°, γ = 60.00°
Fractional coordinates of all 28 atoms:
Zr (0.057, 0.057, 0.693)
Zr (0.057, 0.693, 0.057)
Zr (0.057, 0.693, 0.693)
Zr (0.307, 0.307, 0.943)
Zr (0.307, 0.943, 0.307)
Zr (0.307, 0.943, 0.943)
Zr (0.693, 0.057, 0.057)
Zr (0.693, 0.057, 0.693)
Zr (0.693, 0.693, 0.057)
Zr (0.943, 0.307, 0.307)
Zr (0.943, 0.307, 0.943)
Zr (0.943, 0.943, 0.307)
Ti (0.000, 0.500, 0.500)
Ti (0.293, 0.293, 0.293)
Ti (0.293, 0.293, 0.622)
Ti (0.293, 0.622, 0.293)
Ti (0.378, 0.707, 0.707)
Ti (0.500, 0.000, 0.500)
Ti (0.500, 0.500, 0.000)
Ti (0.500, 0.500, 0.500)
Ti (0.622, 0.293, 0.293)
Ti (0.707, 0.378, 0.707)
Ti (0.707, 0.707, 0.378)
Ti (0.707, 0.707, 0.707)
N (0.000, 0.000, 0.000)
N (0.000, 0.000, 0.500)
N (0.000, 0.500, 0.000)
N (0.500, 0.000, 0.000)

Values from the calculation:
The spin magnetization comes out at 0.338 μB per atom. As for the energy relative to the elements, uncorrected: -0.46 eV per atom.

***

(2)
A relaxed structure of ScCl, computed with GGA-PBE.

a = 6.927 Å, b = 6.927 Å, c = 6.927 Å
α = 149.54°, β = 149.54°, γ = 43.62°
Fractional coordinates of all 4 atoms:
Sc (0.375, 0.625, 0.750)
Sc (0.625, 0.375, 0.250)
Cl (0.125, 0.875, 0.250)
Cl (0.875, 0.125, 0.750)

Values from the calculation:
The spin magnetization comes out at 0.000 μB per atom. As for the energy relative to the elements, uncorrected: -0.86 eV per atom.